# La3Mg2CrS8, relaxed, DFT PBE
# space-group type = No. 166
# energy relative to the elements, uncorrected = -1540 meV/atom
data_La3Mg2CrS8
_chemical_formula_sum 'La3 Mg2 Cr1 S8'
_space_group_name_H-M_alt 'P 1'
_space_group_IT_number 1
_space_group_name_Hall 'P 1'
_cell_length_a 7.935
_cell_length_b 7.935
_cell_length_c 7.935
_cell_angle_alpha 61.16
_cell_angle_beta 61.16
_cell_angle_gamma 61.16
loop_
_atom_site_label
_atom_site_type_symbol
_atom_site_fract_x
_atom_site_fract_y
_atom_site_fract_z
La1 La 0.000 0.500 0.500
La2 La 0.500 0.000 0.500
La3 La 0.500 0.500 0.000
Mg1 Mg 0.127 0.127 0.127
Mg2 Mg 0.873 0.873 0.873
Cr1 Cr 0.500 0.500 0.500
S1 S 0.252 0.252 0.252
S2 S 0.266 0.726 0.726
S3 S 0.274 0.274 0.734
S4 S 0.274 0.734 0.274
S5 S 0.726 0.266 0.726
S6 S 0.726 0.726 0.266
S7 S 0.734 0.274 0.274
S8 S 0.748 0.748 0.748

# LaMgCrSb2, relaxed, DFT PBE
# space-group type = No. 123
# energy relative to the elements, uncorrected = 975 meV/atom
# DOS(E_F) = 4.24 states/eV/cell
data_LaMgCrSb2
_chemical_formula_sum 'La1 Mg1 Cr1 Sb2'
_space_group_name_H-M_alt 'P 1'
_space_group_IT_number 1
_space_group_name_Hall 'P 1'
_cell_length_a 5.997
_cell_length_b 5.997
_cell_length_c 6.057
_cell_angle_alpha 90.00
_cell_angle_beta 90.00
_cell_angle_gamma 90.00
loop_
_atom_site_label
_atom_site_type_symbol
_atom_site_fract_x
_atom_site_fract_y
_atom_site_fract_z
La1 La 0.000 0.000 0.000
Mg1 Mg 0.000 0.000 0.500
Cr1 Cr 0.500 0.500 0.500
Sb1 Sb 0.000 0.500 0.000
Sb2 Sb 0.500 0.000 0.000

# LaMgScCr2, relaxed, DFT PBE
# space-group type = No. 123
# DOS(E_F) = 6.52 states/eV/cell
# ΔE_f = 957 meV/atom
data_LaMgScCr2
_chemical_formula_sum 'La1 Mg1 Sc1 Cr2'
_space_group_name_H-M_alt 'P 1'
_space_group_IT_number 1
_space_group_name_Hall 'P 1'
_cell_length_a 4.997
_cell_length_b 4.997
_cell_length_c 5.174
_cell_angle_alpha 90.00
_cell_angle_beta 90.00
_cell_angle_gamma 90.00
loop_
_atom_site_label
_atom_site_type_symbol
_atom_site_fract_x
_atom_site_fract_y
_atom_site_fract_z
La1 La 0.000 0.000 0.000
Mg1 Mg 0.500 0.500 0.500
Sc1 Sc 0.500 0.500 0.000
Cr1 Cr 0.000 0.500 0.500
Cr2 Cr 0.500 0.000 0.500

# LaMgCr2W, relaxed, DFT PBE
# space-group type = No. 123
# DOS(E_F) = 9.71 states/eV/cell
# ΔE_f = 1345 meV/atom
data_LaMgCr2W
_chemical_formula_sum 'La1 Mg1 Cr2 W1'
_space_group_name_H-M_alt 'P 1'
_space_group_IT_number 1
_space_group_name_Hall 'P 1'
_cell_length_a 4.656
_cell_length_b 4.656
_cell_length_c 5.466
_cell_angle_alpha 90.00
_cell_angle_beta 90.00
_cell_angle_gamma 90.00
loop_
_atom_site_label
_atom_site_type_symbol
_atom_site_fract_x
_atom_site_fract_y
_atom_site_fract_z
La1 La 0.000 0.000 0.000
Mg1 Mg 0.500 0.500 0.000
Cr1 Cr 0.000 0.500 0.500
Cr2 Cr 0.500 0.000 0.500
W1 W 0.000 0.000 0.500

# LaMgCrW2, relaxed, DFT PBE
# space-group type = No. 123
# DOS(E_F) = 9.96 states/eV/cell
# ΔE_f = 2542 meV/atom
data_LaMgCrW2
_chemical_formula_sum 'La1 Mg1 Cr1 W2'
_space_group_name_H-M_alt 'P 1'
_space_group_IT_number 1
_space_group_name_Hall 'P 1'
_cell_length_a 4.697
_cell_length_b 4.697
_cell_length_c 5.248
_cell_angle_alpha 90.00
_cell_angle_beta 90.00
_cell_angle_gamma 90.00
loop_
_atom_site_label
_atom_site_type_symbol
_atom_site_fract_x
_atom_site_fract_y
_atom_site_fract_z
La1 La 0.000 0.000 0.000
Mg1 Mg 0.000 0.000 0.500
Cr1 Cr 0.500 0.500 0.000
W1 W 0.000 0.500 0.500
W2 W 0.500 0.000 0.500

# LaMn2Cr, relaxed, DFT PBE
# space-group type = No. 71
# DOS(E_F) = 4.87 states/eV/cell
# E above lowest polymorph = 32.5 kJ/mol of atoms
# ΔE_f = 588 meV/atom
data_LaMn2Cr
_chemical_formula_sum 'La1 Mn2 Cr1'
_space_group_name_H-M_alt 'P 1'
_space_group_IT_number 1
_space_group_name_Hall 'P 1'
_cell_length_a 5.620
_cell_length_b 5.620
_cell_length_c 5.620
_cell_angle_alpha 147.06
_cell_angle_beta 127.36
_cell_angle_gamma 63.51
loop_
_atom_site_label
_atom_site_type_symbol
_atom_site_fract_x
_atom_site_fract_y
_atom_site_fract_z
La1 La 0.000 0.000 0.000
Mn1 Mn 0.287 0.787 0.500
Mn2 Mn 0.713 0.213 0.500
Cr1 Cr 0.500 0.500 0.000

no.,total moment (μB per cell)
1,2.97
2,5.00
3,7.05
4,0.00
5,0.79
6,4.74